DFT (GGA-PBE) results for a relaxed structure of Sm2Dy3Ni2.

Results
**ΔH_f (0 K)**: -161 kJ/mol of formula units
**E_tot**: -5.21 eV/atom

abc: 12.239 3.625 9.027
angles: 90.00 116.67 90.00
Space group C2/m (No. 12)
One atom of each set of equivalent atoms:
Sm 0.165 0.000 0.309 x4
Dy 0.000 0.500 0.500 x2
Dy 0.116 0.500 0.932 x4
Ni 0.169 0.000 0.739 x4

=====

DFT (GGA-PBE) results for a relaxed structure of K2NpAgO6.

Results
**E_tot**: -6.51 eV/atom

abc: 5.793 5.793 9.520
angles: 90.00 90.00 90.00
Space group I4/mmm (No. 139)
One atom of each set of equivalent atoms:
K 0.000 0.500 0.250 x4
Np 0.000 0.000 0.000 x2
Ag 0.000 0.000 0.500 x2
O 0.000 0.000 0.200 x4
O 0.248 0.248 0.500 x8